Entry from the Alexandria database: PdRu2SeN after structural relaxation (PBE-GGA).

Output
- DFT total energy: -6.4348 eV per atom
- Density of states at the Fermi level: 5.66 states/eV per cell

Unit cell a=3.9120 b=3.9120 c=4.9351 alpha=90.00 beta=90.00 gamma=90.00
With the nearest neighbours (Å) after each atom.
Space group P4/mmm (No. 123)
One atom of each set of equivalent atoms:
Pd (0.0000, 0.0000, 0.0000) (multiplicity 1)  4 Se 2.77
Ru (0.0000, 0.5000, 0.5000) (multiplicity 2)  2 N 1.96
Se (0.5000, 0.5000, 0.0000) (multiplicity 1)  2 N 2.47
N (0.5000, 0.5000, 0.5000) (multiplicity 1)  4 Ru 1.96

***

Entry from the Alexandria database: Tb2PrTh3 after structural relaxation (PBE-GGA).

Output
- DFT total energy: -6.0203 eV per atom
- Density of states at the Fermi level: 37.89 states/eV per cell

Unit cell a=15.2470 b=5.0644 c=11.3892 alpha=90.00 beta=116.47 gamma=90.00
With the nearest neighbours (Å) after each atom.
Space group C2/m (No. 12)
One atom of each set of equivalent atoms:
Tb (0.0402, 0.0000, 0.3665) (multiplicity 4)  4 Th 3.55-3.59, 4 Tb 3.56-3.75, 4 Pr 3.61-3.70
Tb (0.2047, 0.5000, 0.3673) (multiplicity 4)  4 Th 3.56-3.59, 5 Tb 3.56-3.72, 3 Pr 3.59-3.69
Pr (0.1278, 0.5000, 0.6317) (multiplicity 4)  4 Th 3.58-3.59, 7 Tb 3.59-3.70, 1 Pr 3.71
Th (0.0425, 0.5000, 0.8790) (multiplicity 4)  8 Th 3.53-3.60, 3 Tb 3.56, 1 Pr 3.59
Th (0.1229, 0.0000, 0.1204) (multiplicity 4)  8 Th 3.52-3.59, 3 Tb 3.55-3.57, 1 Pr 3.58
Th (0.2101, 0.0000, 0.8798) (multiplicity 4)  8 Th 3.52-3.60, 2 Pr 3.58, 2 Tb 3.59

***

Entry from the Alexandria database: CdAsRu2 after structural relaxation (PBE-GGA).

Output
- DFT total energy: -5.8010 eV per atom
- Density of states at the Fermi level: 10.47 states/eV per cell
- Energy above the lowest structure with this stoichiometry: 0.159 eV per atom

Unit cell a=6.2727 b=6.2727 c=6.2727 alpha=90.00 beta=90.00 gamma=90.00
With the nearest neighbours (Å) after each atom.
Space group Fm-3m (No. 225)
One atom of each set of equivalent atoms:
Cd (0.0000, 0.0000, 0.0000) (multiplicity 4)  8 Ru 2.72
As (0.0000, 0.0000, 0.5000) (multiplicity 4)  8 Ru 2.72
Ru (0.2500, 0.2500, 0.2500) (multiplicity 8)  4 As 2.72, 4 Cd 2.72

***

Entry from the Alexandria database: Na2Hg4Pd3 after structural relaxation (PBE-GGA).

Output
- DFT total energy: -2.3838 eV per atom
- Density of states at the Fermi level: 11.31 states/eV per cell
- Energy above the lowest structure with this stoichiometry: 0.000 eV per atom

Unit cell a=5.6296 b=9.6744 c=14.0739 alpha=90.00 beta=90.00 gamma=90.00
With the nearest neighbours (Å) after each atom.
Space group Fmmm (No. 69)
One atom of each set of equivalent atoms:
Na (0.0000, 0.0000, 0.1125) (multiplicity 8)  1 Na 3.17, 6 Pd 3.22-3.23, 8 Hg 3.31-3.48
Hg (0.0000, 0.1617, 0.3332) (multiplicity 16)  3 Pd 2.82-2.87, 2 Hg 2.90-3.13
Pd (0.0000, 0.0000, 0.5000) (multiplicity 4)  4 Pd 2.80, 4 Hg 2.82
Pd (0.2500, 0.2500, 0.0000) (multiplicity 8)  4 Pd 2.80-2.81, 4 Hg 2.87

***

Entry from the Alexandria database: HI3Cl after structural relaxation (PBE-GGA).

Output
- DFT total energy: -1.3164 eV per atom
- Density of states at the Fermi level: 4.82 states/eV per cell
- Energy above the lowest structure with this stoichiometry: 0.636 eV per atom

Unit cell a=5.0301 b=5.0301 c=5.0301 alpha=90.00 beta=90.00 gamma=90.00
With the nearest neighbours (Å) after each atom.
Space group Pm-3m (No. 221)
One atom of each set of equivalent atoms:
H (0.0000, 0.0000, 0.0000) (multiplicity 1)  6 I 2.52
I (0.0000, 0.0000, 0.5000) (multiplicity 3)  2 H 2.52
Cl (0.5000, 0.5000, 0.5000) (multiplicity 1)  12 I 3.56

***

Entry from the Alexandria database: LiPtAu after structural relaxation (PBE-GGA).

Output
- DFT total energy: -4.0931 eV per atom
- Density of states at the Fermi level: 0.48 states/eV per cell

Unit cell a=4.4278 b=4.4278 c=2.7419 alpha=90.00 beta=90.00 gamma=120.00
With the nearest neighbours (Å) after each atom.
Space group P3m1 (No. 156)
One atom of each set of equivalent atoms:
Li (0.0000, 0.0000, 0.0000) (multiplicity 1)  3 Au 2.63, 3 Pt 2.69, 2 Li 2.74
Pt (0.3333, 0.6667, 0.3110) (multiplicity 1)  3 Li 2.69, 2 Pt 2.74, 6 Au 2.86-2.95
Au (0.6667, 0.3333, 0.7766) (multiplicity 1)  3 Li 2.63, 2 Au 2.74, 3 Pt 2.86

***

Entry from the Alexandria database: Nd2HoTm4 after structural relaxation (PBE-GGA).

Output
- DFT total energy: -4.2967 eV per atom
- Density of states at the Fermi level: 54.99 states/eV per cell
- Energy above the lowest structure with this stoichiometry: 0.194 eV per atom

Unit cell a=9.7030 b=9.7030 c=9.7235 alpha=90.00 beta=90.00 gamma=90.00
With the nearest neighbours (Å) after each atom.
Space group I-42d (No. 122)
One atom of each set of equivalent atoms:
Nd (0.1263, 0.2500, 0.1250) (multiplicity 8)  8 Tm 3.34-3.39
Ho (0.0000, 0.0000, 0.5000) (multiplicity 4)  8 Tm 3.34-3.37
Tm (0.0814, 0.1684, 0.7923) (multiplicity 16)  2 Ho 3.34-3.37, 4 Nd 3.34-3.39, 3 Tm 3.62-3.64

***

Entry from the Alexandria database: Ru3Cl after structural relaxation (PBE-GGA).

Output
- DFT total energy: -6.7152 eV per atom
- Density of states at the Fermi level: 11.16 states/eV per cell
- Energy above the lowest structure with this stoichiometry: 0.281 eV per atom

Unit cell a=2.7773 b=4.9032 c=8.7894 alpha=90.00 beta=90.00 gamma=90.00
With the nearest neighbours (Å) after each atom.
Space group Cmmm (No. 65)
One atom of each set of equivalent atoms:
Ru (0.0000, 0.0000, 0.0000) (multiplicity 2)  10 Ru 2.63-2.82
Ru (0.0000, 0.5000, 0.2535) (multiplicity 4)  2 Cl 2.57, 8 Ru 2.63-2.82
Cl (0.0000, 0.0000, 0.5000) (multiplicity 2)  4 Ru 2.57, 6 Cl 2.78-2.82

***

Entry from the Alexandria database: K2RePt after structural relaxation (PBE-GGA).

Output
- DFT total energy: -4.3037 eV per atom
- Density of states at the Fermi level: 8.50 states/eV per cell
- Energy above the lowest structure with this stoichiometry: 0.372 eV per atom

Unit cell a=2.8781 b=2.8781 c=34.1564 alpha=90.00 beta=90.00 gamma=120.00
With the nearest neighbours (Å) after each atom.
Space group R-3m (No. 166, hexagonal axes)
One atom of each set of equivalent atoms:
K (0.0000, 0.0000, 0.2465) (multiplicity 6)  6 K 2.88, 3 Pt 3.19
Re (0.0000, 0.0000, 0.0000) (multiplicity 3)  6 Re 2.88
Pt (0.0000, 0.0000, 0.5000) (multiplicity 3)  6 Pt 2.88, 6 K 3.19

***

Entry from the Alexandria database: BaIn7Hg5 after structural relaxation (PBE-GGA).

Output
- DFT total energy: -1.8570 eV per atom
- Density of states at the Fermi level: 8.54 states/eV per cell

Unit cell a=12.0760 b=11.1411 c=6.0766 alpha=90.00 beta=117.45 gamma=90.00
With the nearest neighbours (Å) after each atom.
Space group Cm (No. 8)
One atom of each set of equivalent atoms:
Ba (0.0000, 0.0000, 0.0000) (multiplicity 2)  5 Hg 3.51-3.59, 6 In 3.77-3.88
In (0.1388, 0.5000, 0.6194) (multiplicity 2)  2 In 3.03-3.13, 2 Hg 3.13
In (0.2837, 0.5000, 0.3049) (multiplicity 2)  5 In 3.13-3.45, 4 Hg 3.17-3.38
In (0.3566, 0.0000, 0.3209) (multiplicity 2)  1 In 3.03, 3 Hg 3.12-3.14
In (0.4954, 0.2847, 0.5162) (multiplicity 4)  5 Hg 3.05-3.30, 2 In 3.19-3.30
In (0.4990, 0.1396, 0.9724) (multiplicity 4)  2 Hg 3.10-3.18, 3 In 3.11-3.45
Hg (0.2058, 0.0000, 0.7390) (multiplicity 2)  5 In 3.14-3.51, 4 Hg 3.19-3.37, 1 Ba 3.51
Hg (0.2179, 0.2165, 0.4074) (multiplicity 4)  5 In 3.05-3.38, 3 Hg 3.18-3.19
Hg (0.2757, 0.2820, 0.9619) (multiplicity 4)  5 In 3.10-3.30, 3 Hg 3.18-3.37

***

Entry from the Alexandria database: CoAgAs2Se after structural relaxation (PBE-GGA).

Output
- DFT total energy: -4.1781 eV per atom
- Density of states at the Fermi level: 2.71 states/eV per cell
- Energy above the lowest structure with this stoichiometry: 0.000 eV per atom

Unit cell a=4.4119 b=4.4119 c=5.3231 alpha=90.00 beta=90.00 gamma=90.00
With the nearest neighbours (Å) after each atom.
Space group P4/mmm (No. 123)
One atom of each set of equivalent atoms:
Co (0.0000, 0.0000, 0.0000) (multiplicity 1)  4 As 2.21
Ag (0.5000, 0.5000, 0.5000) (multiplicity 1)  4 Se 3.12, 8 As 3.46
As (0.0000, 0.5000, 0.0000) (multiplicity 2)  2 Co 2.21
Se (0.0000, 0.0000, 0.5000) (multiplicity 1)  2 Co 2.66

***

Entry from the Alexandria database: AcNdSnRu after structural relaxation (PBE-GGA).

Output
- DFT total energy: -5.7108 eV per atom
- Density of states at the Fermi level: 11.13 states/eV per cell

Unit cell a=7.6243 b=7.6243 c=7.6243 alpha=90.00 beta=90.00 gamma=90.00
With the nearest neighbours (Å) after each atom.
Space group F-43m (No. 216)
One atom of each set of equivalent atoms:
Ac (0.0000, 0.0000, 0.0000) (multiplicity 4)  4 Ru 3.30, 4 Sn 3.30
Nd (0.0000, 0.0000, 0.5000) (multiplicity 4)  4 Sn 3.30, 4 Ru 3.30
Sn (0.2500, 0.2500, 0.7500) (multiplicity 4)  4 Ac 3.30, 4 Nd 3.30
Ru (0.2500, 0.2500, 0.2500) (multiplicity 4)  4 Nd 3.30, 4 Ac 3.30

***

Entry from the Alexandria database: V2NiRh5 after structural relaxation (PBE-GGA).

Output
- DFT total energy: -7.9334 eV per atom
- Density of states at the Fermi level: 13.96 states/eV per cell

Unit cell a=5.3927 b=5.3927 c=7.4420 alpha=90.00 beta=90.00 gamma=90.00
With the nearest neighbours (Å) after each atom.
Space group I4/mmm (No. 139)
One atom of each set of equivalent atoms:
V (0.0000, 0.5000, 0.0000) (multiplicity 4)  10 Rh 2.66-2.70, 2 Ni 2.70
Ni (0.0000, 0.0000, 0.0000) (multiplicity 2)  8 Rh 2.66, 4 V 2.70
Rh (0.0000, 0.0000, 0.5000) (multiplicity 2)  8 Rh 2.66, 4 V 2.70
Rh (0.2500, 0.2500, 0.2500) (multiplicity 8)  2 Ni 2.66, 6 Rh 2.66-2.70, 4 V 2.66

***

Entry from the Alexandria database: LaPm2Y8 after structural relaxation (PBE-GGA).

Output
- DFT total energy: -5.9018 eV per atom
- Density of states at the Fermi level: 32.99 states/eV per cell
- Energy above the lowest structure with this stoichiometry: 0.000 eV per atom

Unit cell a=5.5585 b=8.2100 c=16.2533 alpha=90.00 beta=90.00 gamma=90.00
With the nearest neighbours (Å) after each atom.
Space group Immm (No. 71)
One atom of each set of equivalent atoms:
La (0.0000, 0.0000, 0.0000) (multiplicity 2)  8 Y 3.32-3.68
Pm (0.0000, 0.0000, 0.3008) (multiplicity 4)  10 Y 3.39-3.65
Y (0.0000, 0.2057, 0.5000) (multiplicity 4)  7 Y 3.38-3.60, 2 Pm 3.65, 2 La 3.68
Y (0.0000, 0.2930, 0.1408) (multiplicity 8)  1 La 3.32, 3 Pm 3.39-3.54, 6 Y 3.40-3.69
Y (0.0000, 0.5000, 0.3380) (multiplicity 4)  8 Y 3.57-3.69, 2 Pm 3.58, 2 La 3.83

***

Entry from the Alexandria database: Pr5Co2Pd after structural relaxation (PBE-GGA).

Output
- DFT total energy: -5.6195 eV per atom
- Density of states at the Fermi level: 37.20 states/eV per cell

Unit cell a=7.6817 b=7.6817 c=13.9204 alpha=90.00 beta=90.00 gamma=90.00
With the nearest neighbours (Å) after each atom.
Space group I4/mcm (No. 140)
One atom of each set of equivalent atoms:
Pr (0.0000, 0.0000, 0.0000) (multiplicity 4)  4 Co 3.04
Pr (0.1674, 0.3326, 0.1365) (multiplicity 16)  3 Co 2.95-2.96, 2 Pd 3.27
Co (0.1245, 0.3755, 0.5000) (multiplicity 8)  1 Co 2.71, 6 Pr 2.95-2.96
Pd (0.0000, 0.0000, 0.2500) (multiplicity 4)  10 Pr 3.27-3.48

***

Entry from the Alexandria database: Sm5Sn2Ir2 after structural relaxation (PBE-GGA).

Output
- DFT total energy: -6.1425 eV per atom
- Density of states at the Fermi level: 26.64 states/eV per cell

Unit cell a=15.8123 b=8.5081 c=7.3499 alpha=90.00 beta=90.00 gamma=90.00
With the nearest neighbours (Å) after each atom.
Space group Cmce (No. 64)
One atom of each set of equivalent atoms:
Sm (0.0000, 0.0000, 0.0000) (multiplicity 4)  2 Ir 2.92
Sm (0.1213, 0.1818, 0.3444) (multiplicity 16)  2 Ir 2.88-2.99
Sn (0.2134, 0.0000, 0.0000) (multiplicity 8)  7 Sm 3.24-3.38
Ir (0.0000, 0.1233, 0.6288) (multiplicity 8)  1 Ir 2.83, 5 Sm 2.88-2.99

***

Entry from the Alexandria database: KSnN2O after structural relaxation (PBE-GGA).

Output
- DFT total energy: -3.4405 eV per atom
- Density of states at the Fermi level: 2.25 states/eV per cell

Unit cell a=4.8108 b=4.8108 c=4.6147 alpha=90.00 beta=90.00 gamma=90.00
With the nearest neighbours (Å) after each atom.
Space group P4/mmm (No. 123)
One atom of each set of equivalent atoms:
K (0.0000, 0.0000, 0.0000) (multiplicity 1)  2 O 2.31, 4 N 2.41
Sn (0.5000, 0.5000, 0.5000) (multiplicity 1)  8 N 3.33, 4 O 3.40
N (0.0000, 0.5000, 0.0000) (multiplicity 2)  2 K 2.41
O (0.0000, 0.0000, 0.5000) (multiplicity 1)  2 K 2.31

***

Entry from the Alexandria database: YMoOs after structural relaxation (PBE-GGA).

Output
- DFT total energy: -9.4036 eV per atom
- Density of states at the Fermi level: 7.23 states/eV per cell
- Energy above the lowest structure with this stoichiometry: 0.279 eV per atom

Unit cell a=3.1440 b=3.1440 c=11.7107 alpha=90.00 beta=90.00 gamma=90.00
With the nearest neighbours (Å) after each atom.
Space group I4mm (No. 107)
One atom of each set of equivalent atoms:
Y (0.0000, 0.0000, 0.0000) (multiplicity 2)  4 Os 3.13, 4 Y 3.14, 4 Mo 3.21
Mo (0.0000, 0.0000, 0.6980) (multiplicity 2)  4 Os 2.59
Os (0.0000, 0.0000, 0.3117) (multiplicity 2)  4 Mo 2.59

***

Entry from the Alexandria database: Re2GeBr after structural relaxation (PBE-GGA).

Output
- DFT total energy: -6.1988 eV per atom
- Density of states at the Fermi level: 20.30 states/eV per cell
- Energy above the lowest structure with this stoichiometry: 0.548 eV per atom

Unit cell a=5.8065 b=5.8065 c=10.2985 alpha=90.00 beta=90.00 gamma=90.00
With the nearest neighbours (Å) after each atom.
Space group I-42d (No. 122)
One atom of each set of equivalent atoms:
Re (0.2446, 0.2500, 0.1250) (multiplicity 8)  2 Br 2.40, 2 Ge 2.44
Ge (0.0000, 0.0000, 0.5000) (multiplicity 4)  4 Re 2.44
Br (0.0000, 0.0000, 0.0000) (multiplicity 4)  4 Re 2.40

***

Entry from the Alexandria database: Ce12ReGe6 after structural relaxation (PBE-GGA).

Output
- DFT total energy: -6.2328 eV per atom
- Density of states at the Fermi level: 137.65 states/eV per cell

Unit cell a=11.6027 b=11.6027 c=12.3115 alpha=90.00 beta=90.00 gamma=120.00
With the nearest neighbours (Å) after each atom.
Space group R-3 (No. 148, hexagonal axes)
One atom of each set of equivalent atoms:
Ce (0.0529, 0.2032, 0.3585) (multiplicity 18)  1 Re 2.74, 2 Ce 2.92-3.07, 1 Ge 3.00
Ce (0.0553, 0.8410, 0.8744) (multiplicity 18)  2 Ce 2.86-3.07, 4 Ge 2.94-3.10
Re (0.0000, 0.0000, 0.5000) (multiplicity 3)  6 Ce 2.74
Ge (0.0026, 0.5816, 0.7583) (multiplicity 18)  8 Ce 2.94-3.21